No. 1
VASP calculation (PBE-GGA) on a relaxed KTlRe2 crystal.

Lattice parameters (Å, degrees): 6.107 6.107 2.683 90.00 90.00 124.75
Fractional positions:
1 K 0.000 0.000 0.000
2 Tl 0.500 0.500 0.000
3 Re 0.000 0.500 0.500
4 Re 0.500 0.000 0.500

Calculated values
Calculated formation energy, eV/atom: 1.615
M_tot, μB per formula unit: 0.000
Calculated volume, Å³ per atom: 20.552
Crystal system: orthorhombic
Excess energy over the best structure of this formula in the dataset, eV per atom: 1.0087

***

No. 2
VASP calculation (PBE-GGA) on a relaxed K2TlRe crystal.

Lattice parameters (Å, degrees): 12.393 12.393 12.393 14.44 14.44 14.44
Fractional positions:
1 K 0.244 0.244 0.244
2 K 0.756 0.756 0.756
3 Tl 0.000 0.000 0.000
4 Re 0.500 0.500 0.500

Calculated values
Calculated formation energy, eV/atom: 1.141
M_tot, μB per formula unit: 0.350
Calculated volume, Å³ per atom: 25.757
Crystal system: trigonal
Excess energy over the best structure of this formula in the dataset, eV per atom: 0.2154

***

No. 3
VASP calculation (PBE-GGA) on a relaxed KTl2Re crystal.

Lattice parameters (Å, degrees): 3.053 3.053 11.044 90.00 90.00 106.78
Fractional positions:
1 K 0.000 0.000 0.000
2 Tl 0.000 0.000 0.453
3 Tl 0.500 0.500 0.715
4 Re 0.500 0.500 0.246

Calculated values
Calculated formation energy, eV/atom: 0.964
M_tot, μB per formula unit: 0.000
Calculated volume, Å³ per atom: 24.641
Crystal system: orthorhombic
Excess energy over the best structure of this formula in the dataset, eV per atom: 0.2895

***

No. 4
VASP calculation (PBE-GGA) on a relaxed KTlRe2 crystal.

Lattice parameters (Å, degrees): 2.757 5.539 5.546 90.00 93.40 90.00
Fractional positions:
1 K 0.000 0.000 0.000
2 Tl 0.500 0.000 0.500
3 Re 0.365 0.500 0.789
4 Re 0.635 0.500 0.211

Calculated values
Calculated formation energy, eV/atom: 1.346
M_tot, μB per formula unit: 0.001
Calculated volume, Å³ per atom: 21.136
Crystal system: monoclinic
Excess energy over the best structure of this formula in the dataset, eV per atom: 0.7392